Computed, not measured: an optimized crystal structure of Cr2Ru2W at the PBE level of DFT.

Structure (POSCAR):
```
Cr2Ru2W
1.0
7.040 0.000 0.000
0.000 7.040 0.000
0.000 0.000 2.766
Cr Ru W
4 4 2
Cartesian
0.921 2.599 0.000
2.599 6.118 0.000
4.441 0.921 0.000
6.118 4.441 0.000
1.181 4.701 1.383
2.339 1.181 1.383
4.701 5.858 1.383
5.858 2.339 1.383
0.000 0.000 0.000
3.520 3.520 0.000
```

Output
- Energy of formation: 19.70 kJ/mol of atoms
- Crystal system: tetragonal
- Polymorph energy (0 for the lowest one): 0.0 meV/atom
- E_tot: -0.7310 Ry/atom